Here is an optimized crystal structure of LaTh2RuN4 from Alexandria via LeMat-Bulk. Energies are from GGA-PBE.

a = 6.378 Å, b = 6.378 Å, c = 11.948 Å
α = 90.00°, β = 90.00°, γ = 147.86°
Element x y z (fractional)
1 La 0.110 0.890 0.750
2 La 0.890 0.110 0.250
3 Th 0.369 0.631 0.554
4 Th 0.369 0.631 0.946
5 Th 0.631 0.369 0.054
6 Th 0.631 0.369 0.446
7 Ru 0.150 0.850 0.250
8 Ru 0.850 0.150 0.750
9 N 0.000 0.000 0.000
10 N 0.000 0.000 0.500
11 N 0.273 0.727 0.123
12 N 0.273 0.727 0.377
13 N 0.454 0.546 0.750
14 N 0.546 0.454 0.250
15 N 0.727 0.273 0.623
16 N 0.727 0.273 0.877

Summary:
- raw total energy (eV/cell) = -142.4
- ΔE_f (raw) (eV per atom) = -1.1078